1.
DFT (PBE) results for a relaxed Er5Pa2Ru5 crystal.

abc: 4.937 4.937 12.648
angles: 78.84 78.84 59.95
Sites, in units of the cell vectors:
1 Ru 0.385 0.385 0.843
2 Ru 0.615 0.615 0.157
3 Er 0.782 0.782 0.652
4 Pa 0.926 0.926 0.224
5 Pa 0.074 0.074 0.776
6 Er 0.218 0.218 0.348
7 Ru 0.000 0.000 0.000
8 Er 0.310 0.310 0.071
9 Ru 0.140 0.140 0.577
10 Ru 0.860 0.860 0.423
11 Er 0.690 0.690 0.929
12 Er 0.500 0.500 0.500

Values from the calculation:
* symmetry: C2/m (12)
* energy of formation: -0.367 eV per atom
* volume: 21.7 A^3/atom
* final energy: -7.716 eV per atom

=====

2.
DFT (PBE) results for a relaxed Be3CoBi crystal.

abc: 4.700 4.700 4.700
angles: 90.00 90.00 90.00
Last column: magnetic moment on the atom in μB.
Sites, in units of the cell vectors:
1 Co 0.500 0.500 0.500  1.98
2 Be 0.000 0.000 0.500  -0.04
3 Bi 0.000 0.000 0.000  -0.03
4 Be 0.000 0.500 0.000  -0.04
5 Be 0.500 0.000 0.000  -0.03

Values from the calculation:
* symmetry: Pm-3m (221)
* energy of formation: 1.913 eV per atom
* volume: 20.8 A^3/atom
* final energy: -2.520 eV per atom
* offset from the most stable computed form: 1.403 eV per atom

=====

3.
DFT (PBE) results for a relaxed Pr2TiGe4Au3 crystal.

abc: 4.325 4.325 11.277
angles: 90.00 90.00 90.00
Sites, in units of the cell vectors:
1 Au 0.000 0.500 0.140
2 Ge 0.500 0.000 0.635
3 Au 0.000 0.000 0.500
4 Au 0.500 0.000 0.860
5 Ti 0.500 0.500 0.500
6 Pr 0.500 0.000 0.249
7 Pr 0.000 0.500 0.751
8 Ge 0.000 0.500 0.365
9 Ge 0.500 0.500 0.000
10 Ge 0.000 0.000 0.000

Values from the calculation:
* symmetry: P-4m2 (115)
* energy of formation: -0.578 eV per atom
* volume: 21.1 A^3/atom
* final energy: -5.153 eV per atom

=====

4.
DFT (PBE) results for a relaxed CsNaAu crystal.

abc: 8.678 10.130 10.130
angles: 61.99 64.64 64.64
Sites, in units of the cell vectors:
1 Cs 0.257 0.461 0.961
2 Na 0.026 0.115 0.115
3 Na 0.026 0.615 0.615
4 Cs 0.679 0.539 0.039
5 Au 0.257 0.750 0.250
6 Au 0.591 0.666 0.666
7 Au 0.591 0.166 0.166
8 Cs 0.835 0.750 0.250
9 Au 0.257 0.250 0.750
10 Au 0.923 0.334 0.334
11 Cs 0.835 0.250 0.750
12 Na 0.257 0.885 0.885
13 Cs 0.679 0.039 0.539
14 Cs 0.257 0.961 0.461
15 Na 0.487 0.000 0.000
16 Na 0.257 0.385 0.385
17 Au 0.923 0.834 0.834
18 Na 0.487 0.500 0.500

Values from the calculation:
* symmetry: P-62m (189)
* energy of formation: -0.207 eV per atom
* volume: 37.8 A^3/atom
* final energy: -2.024 eV per atom
* offset from the most stable computed form: 0.038 eV per atom

=====

5.
DFT (PBE) results for a relaxed TlPb2N crystal.

abc: 5.168 5.168 5.168
angles: 60.00 60.00 60.00
Last column: magnetic moment on the atom in μB.
Sites, in units of the cell vectors:
1 Tl 0.500 0.500 0.500  0.02
2 N 0.000 0.000 0.000  0.38
3 Pb 0.250 0.250 0.250  -0.01
4 Pb 0.750 0.750 0.750  -0.01

Values from the calculation:
* formation energy from raw total energies: 103 kJ/mol of atoms
* symmetry: Fm-3m (225)
* volume: 24.4 A^3/atom
* final energy: -3.460 eV per atom
* offset from the most stable computed form: 0.552 eV per atom

=====

6.
DFT (PBE) results for a relaxed WSe2 crystal.

abc: 5.252 5.252 5.252
angles: 107.67 107.67 113.14
Sites, in units of the cell vectors:
1 Se 0.668 0.832 0.500
2 Se 0.832 0.332 0.164
3 Se 0.332 0.168 0.500
4 W 0.750 0.750 0.000
5 Se 0.168 0.668 0.836
6 W 0.250 0.250 0.000

Values from the calculation:
* formation energy from raw total energies: 24 kJ/mol of atoms
* symmetry: I4/mcm (140)
* volume: 18.5 A^3/atom
* final energy: -6.387 eV per atom

=====

7.
DFT (PBE) results for a relaxed Ac3TbRh2 crystal.

abc: 4.323 9.185 11.043
angles: 79.96 78.71 76.39
Sites, in units of the cell vectors:
1 Tb 0.444 0.421 0.691
2 Tb 0.556 0.579 0.309
3 Rh 0.625 0.128 0.622
4 Ac 0.685 0.683 0.948
5 Rh 0.375 0.872 0.378
6 Rh 0.876 0.386 0.861
7 Ac 0.818 0.803 0.562
8 Ac 0.315 0.317 0.052
9 Ac 0.182 0.197 0.438
10 Rh 0.124 0.614 0.139
11 Ac 0.939 0.928 0.193
12 Ac 0.061 0.072 0.807

Values from the calculation:
* symmetry: C2/m (12)
* energy of formation: -0.540 eV per atom
* volume: 34.5 A^3/atom
* final energy: -5.817 eV per atom

=====

8.
DFT (PBE) results for a relaxed Ni2PRh2 crystal.

abc: 5.919 5.919 3.967
angles: 90.00 90.00 90.00
Last column: magnetic moment on the atom in μB.
Sites, in units of the cell vectors:
1 Ni 0.854 0.354 0.500  0.69
2 Rh 0.844 0.656 0.000  0.16
3 Rh 0.344 0.844 0.000  0.15
4 Ni 0.354 0.146 0.500  0.70
5 P 0.000 0.000 0.000  -0.01
6 Ni 0.146 0.646 0.500  0.69
7 Ni 0.646 0.854 0.500  0.70
8 P 0.500 0.500 0.000  -0.01
9 Rh 0.656 0.156 0.000  0.15
10 Rh 0.156 0.344 0.000  0.16

Values from the calculation:
* symmetry: P4/mbm (127)
* energy of formation: -0.037 eV per atom
* volume: 13.9 A^3/atom
* final energy: -6.372 eV per atom
* offset from the most stable computed form: 0.000 eV per atom

=====

9.
DFT (PBE) results for a relaxed Rb4IBrCl2 crystal.

abc: 7.015 7.015 8.570
angles: 114.16 114.16 90.00
Sites, in units of the cell vectors:
1 I 0.939 0.939 0.000
2 Cl 0.186 0.686 0.500
3 Rb 0.937 0.438 0.000
4 Br 0.437 0.437 0.000
5 Cl 0.686 0.186 0.500
6 Rb 0.677 0.677 0.481
7 Rb 0.438 0.937 0.000
8 Rb 0.196 0.196 0.519

Values from the calculation:
* formation energy from raw total energies: -169 kJ/mol of atoms
* symmetry: Fmm2 (42)
* volume: 43.0 A^3/atom
* final energy: -3.105 eV per atom

=====

10.
DFT (PBE) results for a relaxed Pm2SmHo4Sc crystal.

abc: 9.409 9.407 11.701
angles: 128.50 128.42 88.24
Last column: magnetic moment on the atom in μB.
Sites, in units of the cell vectors:
1 Ho 0.251 0.251 0.485  0.16
2 Ho 0.237 0.764 0.000  0.20
3 Ho 0.749 0.749 0.515  0.16
4 Ho 0.264 0.736 0.500  0.20
5 Ho 0.764 0.236 0.000  0.20
6 Sc 0.000 0.000 0.000  0.21
7 Pm 0.500 0.500 0.000  0.18
8 Pm 0.500 0.000 0.500  0.12
9 Ho 0.249 0.249 0.015  0.16
10 Sm 0.000 0.500 0.000  0.11
11 Pm 0.500 0.000 0.000  0.12
12 Pm 0.000 0.000 0.500  0.18
13 Ho 0.736 0.264 0.500  0.20
14 Sc 0.500 0.500 0.500  0.21
15 Ho 0.751 0.751 0.985  0.16
16 Sm 0.000 0.500 0.500  0.11

Values from the calculation:
* symmetry: C2/m (12)
* energy of formation: 0.422 eV per atom
* volume: 32.3 A^3/atom
* final energy: -4.435 eV per atom

=====

11.
DFT (PBE) results for a relaxed Pu4Ga3Pt crystal.

abc: 3.166 4.639 11.667
angles: 90.00 90.00 90.00
Last column: magnetic moment on the atom in μB.
Sites, in units of the cell vectors:
1 Ga 0.000 0.000 0.434  -0.02
2 Ga 0.000 0.500 0.565  -0.01
3 Pu 0.500 0.500 0.331  5.25
4 Pt 0.500 0.500 0.068  0.07
5 Pu 0.000 0.500 0.838  -5.17
6 Pu 0.500 0.000 0.669  5.26
7 Ga 0.500 0.000 0.935  0.03
8 Pu 0.000 0.000 0.161  -5.12

Values from the calculation:
* symmetry: Pmm2 (25)
* energy of formation: -0.359 eV per atom
* volume: 21.4 A^3/atom
* final energy: -9.415 eV per atom

=====

12.
DFT (PBE) results for a relaxed Li2PrCrH8 crystal.

abc: 3.273 5.826 6.058
angles: 70.90 89.50 88.72
Last column: magnetic moment on the atom in μB.
Sites, in units of the cell vectors:
1 H 0.510 0.699 0.566  0.00
2 H 0.497 0.027 0.142  -0.02
3 Pr 0.000 0.000 0.500  -0.03
4 H 0.993 0.241 0.748  -0.01
5 Li 0.487 0.388 0.759  0.00
6 H 0.503 0.973 0.858  -0.02
7 H 0.007 0.759 0.252  -0.01
8 H 0.011 0.753 0.908  -0.01
9 Li 0.513 0.612 0.241  0.00
10 Cr 0.000 0.000 0.000  1.43
11 H 0.490 0.301 0.434  0.00
12 H 0.989 0.247 0.092  -0.01

Values from the calculation:
* symmetry: P-1 (2)
* volume: 9.1 A^3/atom
* final energy: -3.937 eV per atom

=====

Please write out number 4 again, unchanged.
DFT (PBE) results for a relaxed CsNaAu crystal.

abc: 8.678 10.130 10.130
angles: 61.99 64.64 64.64
Sites, in units of the cell vectors:
1 Cs 0.257 0.461 0.961
2 Na 0.026 0.115 0.115
3 Na 0.026 0.615 0.615
4 Cs 0.679 0.539 0.039
5 Au 0.257 0.750 0.250
6 Au 0.591 0.666 0.666
7 Au 0.591 0.166 0.166
8 Cs 0.835 0.750 0.250
9 Au 0.257 0.250 0.750
10 Au 0.923 0.334 0.334
11 Cs 0.835 0.250 0.750
12 Na 0.257 0.885 0.885
13 Cs 0.679 0.039 0.539
14 Cs 0.257 0.961 0.461
15 Na 0.487 0.000 0.000
16 Na 0.257 0.385 0.385
17 Au 0.923 0.834 0.834
18 Na 0.487 0.500 0.500

Values from the calculation:
* symmetry: P-62m (189)
* energy of formation: -0.207 eV per atom
* volume: 37.8 A^3/atom
* final energy: -2.024 eV per atom
* offset from the most stable computed form: 0.038 eV per atom